(1)
TlZnP2: relaxed, PBE.

Cell lengths 3.353, 4.063, 6.562 Å; angles 72.59, 90.00, 90.00 degrees
Element x y z (fractional)
P  0.000  0.957  0.087
P  0.500  0.299  0.109
Tl  0.000  0.431  0.521
Zn  0.500  0.814  0.783

- total magnetic moment (μB per cell) = 0.000
- space-group type = Pm
- electronic total energy (eV per cell) = -13.8
- crystal system = monoclinic
- V (Å³/cell) = 85



(2)
Ni3Bi2S2: relaxed, PBE.

Cell lengths 5.525, 5.525, 5.525 Å; angles 63.47, 63.47, 63.47 degrees
Element x y z (fractional)
Ni  0.000  0.000  0.500
Ni  0.500  0.000  0.000
Ni  0.000  0.500  0.000
Bi  0.500  0.500  0.500
Bi  0.000  0.000  0.000
S  0.728  0.728  0.728
S  0.272  0.272  0.272

- ΔE_f (raw) (eV per atom) = -0.246
- total magnetic moment (μB per cell) = 0.000
- space-group type = R-3m
- electronic total energy (eV per cell) = -35.1
- crystal system = trigonal
- V (Å³/cell) = 128



(3)
HoNbOs2: relaxed, PBE.

Cell lengths 4.635, 4.635, 4.635 Å; angles 60.00, 60.00, 60.00 degrees
Element x y z (fractional)
Nb  0.000  0.000  0.000
Os  0.250  0.250  0.250
Os  0.750  0.750  0.750
Ho  0.500  0.500  0.500

- total magnetic moment (μB per cell) = 0.000
- space-group type = Fm-3m
- electronic total energy (eV per cell) = -37.8
- crystal system = cubic
- V (Å³/cell) = 70



(4)
Ni3Ir13: relaxed, PBE.

Cell lengths 5.465, 6.419, 6.419 Å; angles 94.35, 90.00, 90.00 degrees
Element x y z (fractional)
Ni  0.750  0.042  0.958
Ni  0.000  0.291  0.709
Ni  0.250  0.042  0.958
Ir  0.753  0.961  0.546
Ir  0.751  0.540  0.460
Ir  0.753  0.454  0.039
Ir  0.000  0.714  0.793
Ir  0.000  0.207  0.286
Ir  0.000  0.792  0.208
Ir  0.247  0.961  0.546
Ir  0.249  0.540  0.460
Ir  0.247  0.454  0.039
Ir  0.500  0.292  0.708
Ir  0.500  0.712  0.794
Ir  0.500  0.206  0.288
Ir  0.500  0.790  0.210

- total magnetic moment (μB per cell) = 0.002
- space-group type = Amm2
- electronic total energy (eV per cell) = -131.5
- crystal system = orthorhombic
- V (Å³/cell) = 225